# 1
This record from Alexandria describes BaNaMnS3 after structural relaxation. The functional is GGA-PBE.

Computed properties:
Electronic total energy in eV per atom: -5.303
V in Å³/cell: 306.6

abc: 7.528 7.528 6.568
angles: 90.00 90.00 124.54
Fractional coordinates of all 12 atoms:
Ba 0.203 0.797 0.750
Ba 0.797 0.203 0.250
Na 0.431 0.569 0.250
Na 0.569 0.431 0.750
Mn 0.053 0.947 0.250
Mn 0.947 0.053 0.750
S 0.217 0.217 0.000
S 0.217 0.217 0.500
S 0.232 0.768 0.250
S 0.768 0.232 0.750
S 0.783 0.783 0.000
S 0.783 0.783 0.500

# 2
This record from Alexandria describes NaThPd2 after structural relaxation. The functional is GGA-PBE.

Computed properties:
Electronic total energy in eV per atom: -5.261
V in Å³/cell: 94.3
Calculated formation energy in kJ per mole of atoms: -46
E above lowest polymorph in meV/atom: 0.0

abc: 3.593 3.593 7.308
angles: 90.00 90.00 90.00
Fractional coordinates of all 4 atoms:
Na 0.000 0.000 0.000
Th 0.000 0.000 0.500
Pd 0.500 0.500 0.281
Pd 0.500 0.500 0.719

# 3
This record from Alexandria describes SrNb2P2 after structural relaxation. The functional is GGA-PBE.

Computed properties:
Electronic total energy in eV per atom: -7.003
V in Å³/cell: 103.3
Calculated formation energy in kJ per mole of atoms: -46
E above lowest polymorph in meV/atom: 0.0

abc: 5.575 5.575 5.575
angles: 128.47 128.47 75.87
Fractional coordinates of all 5 atoms:
Sr 0.000 0.000 0.000
Nb 0.357 0.357 0.000
Nb 0.643 0.643 0.000
P 0.250 0.750 0.500
P 0.750 0.250 0.500